[1]
{
  "formula": "Nd2ThBi3",
  "functional": "PBE",
  "state": "relaxed",
  "lattice_angstrom": [[4.615, 0.000, 0.000], [0.000, 6.517, 0.000], [0.000, 0.000, 13.779]],
  "species": ["Nd", "Nd", "Nd", "Nd", "Th", "Th", "Bi", "Bi", "Bi", "Bi", "Bi", "Bi"],
  "fractional_positions": [[0.000, 0.000, 0.167], [0.000, 0.000, 0.833], [0.500, 0.500, 0.333], [0.500, 0.500, 0.667], [0.000, 0.000, 0.500], [0.500, 0.500, 0.000], [0.000, 0.500, 0.166], [0.000, 0.500, 0.500], [0.000, 0.500, 0.834], [0.500, 0.000, 0.000], [0.500, 0.000, 0.334], [0.500, 0.000, 0.666]],
  "ef_ev_per_atom": -0.84,
  "magmom_total_mub_per_fu": 0.00,
  "space_group": "Immm (71)"
}



[2]
{
  "formula": "Ac2Sn4HgPd3",
  "functional": "PBE",
  "state": "relaxed",
  "lattice_angstrom": [[4.741, 0.000, 0.000], [0.000, 4.741, 0.000], [0.000, 0.000, 11.067]],
  "species": ["Ac", "Ac", "Sn", "Sn", "Sn", "Sn", "Hg", "Pd", "Pd", "Pd"],
  "fractional_positions": [[0.000, 0.500, 0.249], [0.500, 0.000, 0.751], [0.000, 0.000, 0.500], [0.000, 0.500, 0.861], [0.500, 0.000, 0.139], [0.500, 0.500, 0.500], [0.500, 0.500, 0.000], [0.000, 0.000, 0.000], [0.000, 0.500, 0.622], [0.500, 0.000, 0.378]],
  "ef_ev_per_atom": -0.71,
  "magmom_total_mub_per_fu": 0.00,
  "space_group": "P-4m2 (115)"
}



[3]
{
  "formula": "Hf5TiBi6",
  "functional": "PBE",
  "state": "relaxed",
  "lattice_angstrom": [[3.694, -6.139, 0.000], [3.694, 6.139, 0.000], [-2.008, 0.000, 6.903]],
  "species": ["Hf", "Hf", "Hf", "Hf", "Hf", "Ti", "Bi", "Bi", "Bi", "Bi", "Bi", "Bi"],
  "fractional_positions": [[0.000, 0.000, 0.000], [0.121, 0.879, 0.500], [0.296, 0.704, 0.000], [0.704, 0.296, 0.000], [0.879, 0.121, 0.500], [0.500, 0.500, 0.500], [0.108, 0.445, 0.281], [0.300, 0.300, 0.797], [0.445, 0.108, 0.281], [0.555, 0.892, 0.719], [0.700, 0.700, 0.203], [0.892, 0.555, 0.719]],
  "ef_ev_per_atom": 0.06,
  "magmom_total_mub_per_fu": 0.40,
  "space_group": "C2/m (12)"
}



[4]
{
  "formula": "Cr2InI",
  "functional": "PBE",
  "state": "relaxed",
  "lattice_angstrom": [[7.046, 0.000, 0.000], [0.000, 7.046, 0.000], [0.000, 0.000, 7.046]],
  "species": ["Cr", "Cr", "Cr", "Cr", "Cr", "Cr", "Cr", "Cr", "In", "In", "In", "In", "I", "I", "I", "I"],
  "fractional_positions": [[0.250, 0.250, 0.250], [0.250, 0.250, 0.750], [0.250, 0.750, 0.250], [0.250, 0.750, 0.750], [0.750, 0.250, 0.250], [0.750, 0.250, 0.750], [0.750, 0.750, 0.250], [0.750, 0.750, 0.750], [0.000, 0.000, 0.000], [0.000, 0.500, 0.500], [0.500, 0.000, 0.500], [0.500, 0.500, 0.000], [0.000, 0.000, 0.500], [0.000, 0.500, 0.000], [0.500, 0.000, 0.000], [0.500, 0.500, 0.500]],
  "relative_energy_mev_per_atom": 32.7,
  "magmom_total_mub_per_fu": 7.98,
  "space_group": "Fm-3m (225)"
}



[5]
{
  "formula": "Ac4SiHg3",
  "functional": "PBE",
  "state": "relaxed",
  "lattice_angstrom": [[4.016, 0.000, 0.000], [0.000, 4.016, 0.000], [0.000, 0.000, 15.836]],
  "species": ["Ac", "Ac", "Ac", "Ac", "Si", "Hg", "Hg", "Hg"],
  "fractional_positions": [[0.000, 0.000, 0.107], [0.000, 0.000, 0.372], [0.000, 0.000, 0.628], [0.000, 0.000, 0.893], [0.500, 0.500, 0.000], [0.500, 0.500, 0.244], [0.500, 0.500, 0.500], [0.500, 0.500, 0.756]],
  "magmom_total_mub_per_fu": 0.13,
  "space_group": "P4/mmm (123)",
  "total_energy_ev_per_atom": -3.30
}



[6]
{
  "formula": "In6Se8I",
  "functional": "PBE",
  "state": "relaxed",
  "lattice_angstrom": [[5.691, 3.286, 4.383], [-5.691, 3.286, 4.383], [0.000, -6.572, 4.383]],
  "species": ["In", "In", "In", "In", "In", "In", "Se", "Se", "Se", "Se", "Se", "Se", "Se", "Se", "I"],
  "fractional_positions": [[0.062, 0.867, 0.675], [0.133, 0.325, 0.938], [0.325, 0.938, 0.133], [0.675, 0.062, 0.867], [0.867, 0.675, 0.062], [0.938, 0.133, 0.325], [0.085, 0.795, 0.342], [0.205, 0.658, 0.915], [0.252, 0.252, 0.252], [0.342, 0.085, 0.795], [0.658, 0.915, 0.205], [0.748, 0.748, 0.748], [0.795, 0.342, 0.085], [0.915, 0.205, 0.658], [0.500, 0.500, 0.500]],
  "magmom_total_mub_per_fu": 0.00,
  "space_group": "R-3 (148)",
  "total_energy_ev_per_atom": -3.38
}



[7]
{
  "formula": "MgTlZn2",
  "functional": "PBE",
  "state": "relaxed",
  "lattice_angstrom": [[4.273, 0.000, 0.000], [0.000, 4.273, 0.000], [0.000, 0.000, 8.906]],
  "species": ["Mg", "Mg", "Tl", "Tl", "Zn", "Zn", "Zn", "Zn"],
  "fractional_positions": [[0.000, 0.000, 0.000], [0.500, 0.500, 0.500], [0.000, 0.000, 0.500], [0.500, 0.500, 0.000], [0.000, 0.500, 0.250], [0.000, 0.500, 0.750], [0.500, 0.000, 0.250], [0.500, 0.000, 0.750]],
  "ef_ev_per_atom": 0.08,
  "relative_energy_mev_per_atom": 30.9,
  "magmom_total_mub_per_fu": 0.00,
  "space_group": "I4/mmm (139)"
}



[8]
{
  "formula": "CdPb3Cl",
  "functional": "PBE",
  "state": "relaxed",
  "lattice_angstrom": [[5.576, 0.000, 0.000], [0.000, 5.576, 0.000], [0.000, 0.000, 5.576]],
  "species": ["Cd", "Pb", "Pb", "Pb", "Cl"],
  "fractional_positions": [[0.000, 0.000, 0.000], [0.000, 0.500, 0.500], [0.500, 0.000, 0.500], [0.500, 0.500, 0.000], [0.500, 0.500, 0.500]],
  "relative_energy_mev_per_atom": 0.0,
  "magmom_total_mub_per_fu": 0.00,
  "space_group": "Pm-3m (221)"
}



[9]
{
  "formula": "PbC",
  "functional": "PBE",
  "state": "relaxed",
  "lattice_angstrom": [[4.656, 0.000, 0.000], [0.000, 4.656, 0.000], [0.000, 0.000, 3.455]],
  "species": ["Pb", "Pb", "C", "C"],
  "fractional_positions": [[0.250, 0.750, 0.000], [0.750, 0.250, 0.000], [0.250, 0.250, 0.254], [0.750, 0.750, 0.746]],
  "ef_ev_per_atom": 2.15,
  "relative_energy_mev_per_atom": 1294.0,
  "magmom_total_mub_per_fu": 0.00,
  "space_group": "P4/nmm (129)"
}



[10]
{
  "formula": "Dy3B8Ru3",
  "functional": "PBE",
  "state": "relaxed",
  "lattice_angstrom": [[-1.633, 4.672, 5.416], [1.633, -4.672, 5.416], [1.633, 4.672, -5.416]],
  "species": ["Dy", "Dy", "Dy", "B", "B", "B", "B", "B", "B", "B", "B", "Ru", "Ru", "Ru"],
  "fractional_positions": [[0.000, 0.000, 0.000], [0.291, 0.291, 0.000], [0.709, 0.709, 0.000], [0.010, 0.303, 0.707], [0.153, 0.860, 0.293], [0.405, 0.697, 0.707], [0.432, 0.140, 0.293], [0.568, 0.860, 0.707], [0.595, 0.303, 0.293], [0.847, 0.140, 0.707], [0.990, 0.697, 0.293], [0.258, 0.500, 0.758], [0.500, 0.000, 0.500], [0.742, 0.500, 0.242]],
  "ef_ev_per_atom": -0.21,
  "magmom_total_mub_per_fu": 0.00,
  "space_group": "Immm (71)"
}



[11]
{
  "formula": "CrHgAs2",
  "functional": "PBE",
  "state": "relaxed",
  "lattice_angstrom": [[3.881, 0.000, 0.000], [0.000, 3.072, 0.000], [-1.927, 0.000, 6.626]],
  "species": ["Cr", "Hg", "As", "As"],
  "fractional_positions": [[0.000, 0.000, 0.000], [0.807, 0.500, 0.616], [0.183, 0.000, 0.368], [0.500, 0.500, 0.001]],
  "ef_ev_per_atom": 0.22,
  "magmom_total_mub_per_fu": 2.01,
  "space_group": "Pm (6)"
}



[12]
{
  "formula": "CaSb2Mo",
  "functional": "PBE",
  "state": "relaxed",
  "lattice_angstrom": [[6.452, 0.000, 0.000], [0.000, 7.675, 0.000], [0.000, 0.000, 3.641]],
  "species": ["Ca", "Ca", "Sb", "Sb", "Sb", "Sb", "Mo", "Mo"],
  "fractional_positions": [[0.000, 0.000, 0.000], [0.500, 0.500, 0.000], [0.250, 0.250, 0.500], [0.250, 0.750, 0.500], [0.750, 0.250, 0.500], [0.750, 0.750, 0.500], [0.000, 0.500, 0.000], [0.500, 0.000, 0.000]],
  "relative_energy_mev_per_atom": 359.3,
  "magmom_total_mub_per_fu": 0.63,
  "space_group": "Cmmm (65)"
}



[13]
{
  "formula": "Pr2EuPu",
  "functional": "PBE",
  "state": "relaxed",
  "lattice_angstrom": [[5.249, 0.000, 0.000], [0.000, 5.249, 0.000], [0.000, 0.000, 5.007]],
  "species": ["Pr", "Pr", "Eu", "Pu"],
  "fractional_positions": [[0.000, 0.500, 0.000], [0.500, 0.000, 0.000], [0.000, 0.000, 0.500], [0.500, 0.500, 0.500]],
  "ef_ev_per_atom": 0.23,
  "magmom_total_mub_per_fu": 0.80,
  "space_group": "P4/mmm (123)"
}



[14]
{
  "formula": "Ta2CdCl",
  "functional": "PBE",
  "state": "relaxed",
  "lattice_angstrom": [[2.957, 0.000, 0.000], [0.000, 4.384, 0.000], [-0.640, 0.000, 5.721]],
  "species": ["Ta", "Ta", "Cd", "Cl"],
  "fractional_positions": [[0.053, 0.000, 0.257], [0.947, 0.000, 0.743], [0.500, 0.500, 0.000], [0.000, 0.500, 0.500]],
  "relative_energy_mev_per_atom": 481.0,
  "magmom_total_mub_per_fu": 0.00,
  "space_group": "P2/m (10)"
}



[15]
{
  "formula": "K4CeNd3O8",
  "functional": "PBE",
  "state": "relaxed",
  "lattice_angstrom": [[3.646, 2.105, 6.303], [-3.646, 2.105, 6.303], [0.000, -4.210, 6.303]],
  "species": ["K", "K", "K", "K", "Ce", "Nd", "Nd", "Nd", "O", "O", "O", "O", "O", "O", "O", "O"],
  "fractional_positions": [[0.000, 0.000, 0.000], [0.000, 0.500, 0.500], [0.500, 0.000, 0.500], [0.500, 0.500, 0.000], [0.500, 0.500, 0.500], [0.000, 0.000, 0.500], [0.000, 0.500, 0.000], [0.500, 0.000, 0.000], [0.230, 0.230, 0.230], [0.232, 0.729, 0.729], [0.271, 0.271, 0.768], [0.271, 0.768, 0.271], [0.729, 0.232, 0.729], [0.729, 0.729, 0.232], [0.768, 0.271, 0.271], [0.770, 0.770, 0.770]],
  "magmom_total_mub_per_fu": 0.98,
  "space_group": "R-3m (166)",
  "total_energy_ev_per_atom": -6.62
}



[16]
{
  "formula": "DyHg4",
  "functional": "PBE",
  "state": "relaxed",
  "lattice_angstrom": [[6.015, 0.000, 0.000], [0.000, 6.015, 0.000], [0.000, 0.000, 6.015]],
  "species": ["Dy", "Hg", "Hg", "Hg", "Hg"],
  "fractional_positions": [[0.000, 0.000, 0.000], [0.000, 0.000, 0.500], [0.000, 0.500, 0.000], [0.500, 0.000, 0.000], [0.500, 0.500, 0.500]],
  "ef_ev_per_atom": 0.28,
  "relative_energy_mev_per_atom": 491.9,
  "magmom_total_mub_per_fu": 0.00,
  "space_group": "Pm-3m (221)"
}



[17]
{
  "formula": "La3Zn6AgHg2",
  "functional": "PBE",
  "state": "relaxed",
  "lattice_angstrom": [[5.504, 0.000, 0.000], [-2.752, 4.767, 0.000], [0.000, 0.000, 10.371]],
  "species": ["La", "La", "La", "Zn", "Zn", "Zn", "Zn", "Zn", "Zn", "Ag", "Hg", "Hg"],
  "fractional_positions": [[0.000, 0.000, 0.000], [0.333, 0.667, 0.576], [0.667, 0.333, 0.424], [0.169, 0.338, 0.272], [0.169, 0.831, 0.272], [0.338, 0.169, 0.728], [0.662, 0.831, 0.272], [0.831, 0.169, 0.728], [0.831, 0.662, 0.728], [0.000, 0.000, 0.500], [0.333, 0.667, 0.895], [0.667, 0.333, 0.105]],
  "ef_ev_per_atom": -0.23,
  "magmom_total_mub_per_fu": 0.00,
  "space_group": "P-3m1 (164)"
}



[18]
{
  "formula": "LaYFeC2",
  "functional": "PBE",
  "state": "relaxed",
  "lattice_angstrom": [[4.383, 0.000, 0.000], [0.000, 4.383, 0.000], [0.000, 0.000, 6.231]],
  "species": ["La", "Y", "Fe", "C", "C"],
  "fractional_positions": [[0.000, 0.000, 0.000], [0.000, 0.000, 0.500], [0.500, 0.500, 0.000], [0.000, 0.500, 0.500], [0.500, 0.000, 0.500]],
  "ef_ev_per_atom": 2.46,
  "magmom_total_mub_per_fu": 0.62,
  "space_group": "P4/mmm (123)"
}



[19]
{
  "formula": "MgNiMo",
  "functional": "PBE",
  "state": "relaxed",
  "lattice_angstrom": [[4.923, 0.000, 0.000], [0.000, 4.470, 0.000], [0.000, 0.000, 8.079]],
  "species": ["Mg", "Mg", "Mg", "Mg", "Ni", "Ni", "Ni", "Ni", "Mo", "Mo", "Mo", "Mo"],
  "fractional_positions": [[0.154, 0.250, 0.047], [0.346, 0.750, 0.547], [0.654, 0.250, 0.453], [0.846, 0.750, 0.953], [0.158, 0.250, 0.365], [0.342, 0.750, 0.865], [0.658, 0.250, 0.135], [0.842, 0.750, 0.635], [0.081, 0.250, 0.698], [0.419, 0.750, 0.198], [0.581, 0.250, 0.802], [0.919, 0.750, 0.302]],
  "ef_ev_per_atom": 0.16,
  "relative_energy_mev_per_atom": 155.3,
  "magmom_total_mub_per_fu": 0.00,
  "space_group": "Pnma (62)"
}



[20]
{
  "formula": "PmSc2TcO8",
  "functional": "PBE",
  "state": "relaxed",
  "lattice_angstrom": [[3.433, -3.491, 0.000], [3.433, 3.491, 0.000], [0.000, 0.000, 6.597]],
  "species": ["Pm", "Sc", "Sc", "Tc", "O", "O", "O", "O", "O", "O", "O", "O"],
  "fractional_positions": [[0.000, 0.000, 0.000], [0.500, 0.500, 0.243], [0.500, 0.500, 0.757], [0.000, 0.000, 0.500], [0.194, 0.194, 0.294], [0.194, 0.194, 0.706], [0.275, 0.725, 0.500], [0.322, 0.678, 0.000], [0.678, 0.322, 0.000], [0.725, 0.275, 0.500], [0.806, 0.806, 0.294], [0.806, 0.806, 0.706]],
  "magmom_total_mub_per_fu": 0.00,
  "space_group": "Cmmm (65)",
  "total_energy_ev_per_atom": -8.19
}



[21]
{
  "formula": "Mg4CdIn4",
  "functional": "PBE",
  "state": "relaxed",
  "lattice_angstrom": [[-4.859, 4.859, 2.256], [4.859, -4.859, 2.256], [4.859, 4.859, -2.256]],
  "species": ["Mg", "Mg", "Mg", "Mg", "Cd", "In", "In", "In", "In"],
  "fractional_positions": [[0.165, 0.165, 0.330], [0.165, 0.835, 0.000], [0.835, 0.165, 0.000], [0.835, 0.835, 0.670], [0.500, 0.500, 0.000], [0.174, 0.500, 0.674], [0.500, 0.174, 0.674], [0.500, 0.826, 0.326], [0.826, 0.500, 0.326]],
  "ef_ev_per_atom": -0.06,
  "relative_energy_mev_per_atom": 0.0,
  "magmom_total_mub_per_fu": 0.00,
  "space_group": "I4/mmm (139)"
}